Arrangement one

DFT (PBE) results for a geometry-optimized PmTmScIn structure.

Lattice parameters (Å, degrees): 5.3358 5.3358 5.3358 60.00 60.00 60.00
Closest atoms and distances in Å follow each position.
Fractional positions:
Pm (0.0000, 0.0000, 0.0000)  4 Sc 3.27, 4 Tm 3.27
Tm (0.2500, 0.2500, 0.2500)  4 In 3.27, 4 Pm 3.27
Sc (0.7500, 0.7500, 0.7500)  4 In 3.27, 4 Pm 3.27
In (0.5000, 0.5000, 0.5000)  4 Sc 3.27, 4 Tm 3.27

Results
- D(E_F) (states/eV/f.u.) = 5.973
- theoretical density (g/cm³) = 7.323
- M_tot (μB per cell) = 1.71

Arrangement two

DFT (PBE) results for a geometry-optimized PmTmScIn structure.

Lattice parameters (Å, degrees): 5.3664 5.3664 5.3664 60.00 60.00 60.00
Closest atoms and distances in Å follow each position.
Fractional positions:
Pm (0.0000, 0.0000, 0.0000)  4 In 3.29, 4 Sc 3.29
Tm (0.5000, 0.5000, 0.5000)  4 In 3.29, 4 Sc 3.29
Sc (0.2500, 0.2500, 0.2500)  4 Tm 3.29, 4 Pm 3.29
In (0.7500, 0.7500, 0.7500)  4 Pm 3.29, 4 Tm 3.29

Results
- D(E_F) (states/eV/f.u.) = 5.562
- theoretical density (g/cm³) = 7.198
- M_tot (μB per cell) = 0.94

The structure with the most favorable energy is arrangement two; the runner-up is 6.4 kJ/mol of atoms above it.